First-principles (PBEsol) data for a relaxed Li17V16O32 crystal, as listed in the Alexandria database.

Computed properties:
For the total DFT energy (no corrections), the calculation gives -1005.7 eV/cell.

Unit cell a=11.3999 b=11.5359 c=9.9161 alpha=90.00 beta=125.03 gamma=90.00
Closest atoms and distances in Å follow each position.
Space group Cm (No. 8)
One atom of each set of equivalent atoms:
Li: 0.0000 0.0000 0.0000  6 O 1.95-2.11
Li: 0.9997 0.1280 0.7492  6 O 1.97-2.12
Li: 0.0098 0.5000 0.9628  3 O 1.88-1.93
Li: 0.0107 0.3438 0.2742  3 O 1.87-1.89
Li: 0.2109 0.0000 0.9761  4 O 1.94-2.13
Li: 0.2451 0.2477 0.5001  6 O 1.93-2.15
Li: 0.2465 0.5000 0.9954  6 O 2.02-2.14
Li: 0.4536 0.0000 0.1412  4 O 1.72-1.74
Li: 0.4974 0.3769 0.2489  6 O 1.99-2.15
Li: 0.4979 0.2547 0.5038  6 O 1.99-2.16
Li: 0.4991 0.1290 0.7455  6 O 2.00-2.14
V: 0.2453 0.3965 0.7327  5 O 1.92-2.07
V: 0.2475 0.3769 0.2478  6 O 1.98-2.02
V: 0.2487 0.5000 0.5226  6 O 1.95-2.05
V: 0.2515 0.1163 0.2563  6 O 1.95-2.06
V: 0.2520 0.0000 0.4899  6 O 1.97-2.05
V: 0.2572 0.2435 0.9854  6 O 1.93-2.13
V: 0.2598 0.1356 0.7701  6 O 1.93-2.14
V: 0.4592 0.0000 0.4737  6 O 1.94-2.12
V: 0.4758 0.2455 0.9842  6 O 1.94-2.11
V: 0.4920 0.5000 0.4961  6 O 2.00-2.01
O: 0.1116 0.5000 0.7316  3 V 1.93-2.11, 3 Li 2.02-2.14
O: 0.1135 0.3825 0.4978  2 Li 1.87-2.08, 2 V 1.92-1.96
O: 0.1175 0.0000 0.2449  3 V 1.99, 3 Li 1.99
O: 0.1231 0.2478 0.2362  2 Li 1.89-2.08, 3 V 2.01-2.06
O: 0.1240 0.3649 0.9992  3 Li 1.93-2.11, 3 V 2.02-2.13
O: 0.1259 0.1362 0.0040  3 Li 1.95-2.11, 3 V 2.03-2.11
O: 0.1267 0.1175 0.5080  3 V 2.00-2.14, 3 Li 2.05-2.10
O: 0.1291 0.0000 0.7419  3 Li 1.94-2.12, 3 V 2.00-2.07
O: 0.1298 0.2540 0.7486  2 V 1.93, 3 Li 1.99-2.08
O: 0.1390 0.5000 0.2708  1 Li 1.73
O: 0.3602 0.0000 0.7373  1 Li 1.88, 3 V 2.02-2.07
O: 0.3607 0.2494 0.2377  1 Li 1.87, 3 V 2.00-2.07
O: 0.3641 0.3746 0.9839  3 V 1.95-2.06, 3 Li 2.02-2.15
O: 0.3649 0.0000 0.2366  1 Li 1.74, 1 V 1.94
O: 0.3650 0.2565 0.7456  3 V 1.94-2.07, 3 Li 2.00-2.12
O: 0.3652 0.3799 0.4964  3 V 2.00-2.04, 3 Li 2.06
O: 0.3665 0.1317 0.4981  3 Li 1.93-2.04, 3 V 1.94-1.97
O: 0.3710 0.5000 0.2486  3 V 2.00-2.01, 3 Li 2.02-2.06
O: 0.3801 0.1159 0.0084  1 Li 1.72
O: 0.3915 0.5000 0.7604  3 V 1.94-1.95, 3 Li 1.95-1.97


First-principles (PBEsol) data for a relaxed Li3V6O16 crystal, as listed in the Alexandria database.

Computed properties:
For the total DFT energy (no corrections), the calculation gives -206.3 eV/cell.

Unit cell a=6.6631 b=3.5857 c=11.7270 alpha=90.00 beta=104.78 gamma=90.00
Closest atoms and distances in Å follow each position.
Space group Pm (No. 6)
One atom of each set of equivalent atoms:
Li: 0.0000 0.0000 0.0000  4 O 2.04-2.26
Li: 0.2906 0.0000 0.3687  4 O 1.97-2.11
Li: 0.6326 0.5000 0.6418  4 O 2.03-2.23
V: 0.0821 0.5000 0.5169  1 O 1.62
V: 0.1225 0.5000 0.7823  2 O 1.62-1.74
V: 0.5087 0.0000 0.8556  2 O 1.62-1.74
V: 0.5500 0.0000 0.1222  1 O 1.61
V: 0.7013 0.0000 0.4012  2 O 1.63-1.76
V: 0.9362 0.5000 0.2341  1 O 1.61
O: 0.0069 0.0000 0.4929  3 V 1.86-2.05
O: 0.0460 0.5000 0.1264  1 V 1.61
O: 0.1505 0.5000 0.3662  2 V 1.82-1.94, 2 Li 2.02
O: 0.2069 0.0000 0.7782  3 V 1.88-1.98
O: 0.3163 0.0000 0.0402  1 V 1.61
O: 0.3169 0.5000 0.5996  1 V 1.62
O: 0.4242 0.5000 0.8598  3 V 1.88-1.98
O: 0.4945 0.0000 0.2735  2 V 1.76-1.90, 1 Li 1.97
O: 0.5719 0.0000 0.5022  1 V 1.63
O: 0.6329 0.5000 0.1455  3 V 1.88-2.02
O: 0.6386 0.0000 0.7560  1 V 1.62
O: 0.6877 0.0000 0.9921  1 V 1.74
O: 0.7701 0.5000 0.3914  2 V 1.86
O: 0.8771 0.0000 0.2503  2 V 1.86
O: 0.9426 0.5000 0.6454  1 V 1.74
O: 0.9916 0.5000 0.8810  1 V 1.62